DFT (PBE-GGA) results for a relaxed Mg2CoCl crystal.

a = 4.7207 Å, b = 4.7207 Å, c = 4.7207 Å
α = 60.00°, β = 60.00°, γ = 60.00°
Fractional positions:
Mg (0.2500, 0.2500, 0.2500)
Mg (0.7500, 0.7500, 0.7500)
Co (0.0000, 0.0000, 0.0000)
Cl (0.5000, 0.5000, 0.5000)

formation energy from raw total energies: 0.231 eV per atom
DOS at the Fermi energy: 6.5 states/eV/f.u.
total magnetization: 1.162 μB per formula unit
space group: Fm-3m, No. 225
offset from the most stable computed form: 599 meV/atom